1.
A plane-wave DFT calculation with GGA-PBE was carried out for a relaxed structure of Dy3InSe6.

## Properties
VASP energy: -5.267 eV/atom
Space group: Cmc2_1 (36)
Uncorrected formation energy: -1521.7 meV per atom

Cell: 8.9859 8.9859 6.8993 Å, 90.00 90.00 102.62°
Last column: nearest neighbours and their distance in Å.
Positions (direct):
Dy  0.0938  0.9062  0.5000  7 Se 2.87-3.12
Dy  0.2174  0.4120  0.5978  7 Se 2.83-3.09
Dy  0.4120  0.2174  0.0978  7 Se 2.83-3.09
Dy  0.5880  0.7826  0.5978  7 Se 2.83-3.09
Dy  0.7826  0.5880  0.0978  7 Se 2.83-3.09
Dy  0.9062  0.0938  0.0000  7 Se 2.87-3.12
In  0.2967  0.7033  0.1237  4 Se 2.59-2.66
In  0.7033  0.2967  0.6237  4 Se 2.59-2.66
Se  0.0523  0.5985  0.3315  1 In 2.62, 1 Dy 2.90
Se  0.1287  0.1974  0.2965  4 Dy 2.83-2.93
Se  0.1974  0.1287  0.7965  4 Dy 2.83-2.93
Se  0.2790  0.7210  0.7503  1 In 2.59
Se  0.4015  0.9477  0.3315  1 In 2.62, 1 Dy 2.90
Se  0.4672  0.5328  0.2932  1 In 2.66
Se  0.5328  0.4672  0.7932  1 In 2.66
Se  0.5985  0.0523  0.8315  1 In 2.62, 1 Dy 2.90
Se  0.7210  0.2790  0.2503  1 In 2.59
Se  0.8026  0.8713  0.2965  4 Dy 2.83-2.93
Se  0.8713  0.8026  0.7965  4 Dy 2.83-2.93
Se  0.9477  0.4015  0.8315  1 In 2.62, 1 Dy 2.90

***

2.
A plane-wave DFT calculation with GGA-PBE was carried out for a relaxed structure of DyIn3Se6.

## Properties
VASP energy: -4.181 eV/atom
Space group: P2_1/m (11)
Uncorrected formation energy: -808.4 meV per atom

Cell: 11.4086 4.0743 11.8986 Å, 90.00 111.65 90.00°
Last column: nearest neighbours and their distance in Å.
Positions (direct):
Dy  0.2016  0.2500  0.0489  8 Se 2.89-3.10
Dy  0.7984  0.7500  0.9511  8 Se 2.89-3.10
In  0.0227  0.7500  0.2942  6 Se 2.70-2.98
In  0.3343  0.2500  0.4377  6 Se 2.70-2.92
In  0.4041  0.7500  0.8317  6 Se 2.72-2.88
In  0.5959  0.2500  0.1683  6 Se 2.72-2.88
In  0.6657  0.7500  0.5623  6 Se 2.70-2.92
In  0.9773  0.2500  0.7058  6 Se 2.70-2.98
Se  0.0357  0.7500  0.9017  3 Dy 2.89-2.97, 2 In 2.98
Se  0.1045  0.2500  0.4537  3 In 2.70
Se  0.2368  0.2500  0.8024  3 In 2.72-2.75
Se  0.2395  0.7500  0.2499  3 In 2.71-2.92
Se  0.4077  0.7500  0.0692  3 In 2.81-2.88, 2 Dy 3.05
Se  0.4378  0.7500  0.6034  4 In 2.78-2.88
Se  0.5622  0.2500  0.3966  4 In 2.78-2.88
Se  0.5923  0.2500  0.9308  3 In 2.81-2.88, 2 Dy 3.05
Se  0.7605  0.2500  0.7501  3 In 2.71-2.92
Se  0.7632  0.7500  0.1976  3 In 2.72-2.75
Se  0.8955  0.7500  0.5463  3 In 2.70
Se  0.9643  0.2500  0.0983  3 Dy 2.89-2.97, 2 In 2.98

***

3.
A plane-wave DFT calculation with GGA-PBE was carried out for a relaxed structure of Dy3InSe2.

## Properties
VASP energy: -5.226 eV/atom
Space group: Immm (71)
Uncorrected formation energy: -1307.1 meV per atom

Cell: 4.0254 5.9471 12.9911 Å, 90.00 90.00 90.00°
Last column: nearest neighbours and their distance in Å.
Positions (direct):
Dy  0.0000  0.0000  0.0000  4 Se 2.94, 2 In 2.97
Dy  0.0000  0.0000  0.3229  4 Se 2.88-2.98, 2 In 3.06
Dy  0.0000  0.0000  0.6771  4 Se 2.88-2.98, 2 In 3.06
Dy  0.5000  0.5000  0.1771  4 Se 2.88-2.98, 2 In 3.06
Dy  0.5000  0.5000  0.5000  4 Se 2.94, 2 In 2.97
Dy  0.5000  0.5000  0.8229  4 Se 2.88-2.98, 2 In 3.06
In  0.0000  0.5000  0.0000  6 Dy 2.97-3.06
In  0.5000  0.0000  0.5000  6 Dy 2.97-3.06
Se  0.0000  0.5000  0.3352  6 Dy 2.88-2.98
Se  0.0000  0.5000  0.6648  6 Dy 2.88-2.98
Se  0.5000  0.0000  0.1648  6 Dy 2.88-2.98
Se  0.5000  0.0000  0.8352  6 Dy 2.88-2.98

***

4.
A plane-wave DFT calculation with GGA-PBE was carried out for a relaxed structure of Dy6InSe3.

## Properties
VASP energy: -5.157 eV/atom
Space group: P2_1/m (11)
Uncorrected formation energy: -1076.6 meV per atom

Cell: 11.9086 3.9253 12.1035 Å, 90.00 107.31 90.00°
Last column: nearest neighbours and their distance in Å.
Positions (direct):
Dy  0.0000  0.2500  0.1432  4 Se 2.86-3.07
Dy  0.0000  0.7500  0.8568  4 Se 2.86-3.07
Dy  0.1187  0.7500  0.4288  4 Se 2.81-2.90
Dy  0.2242  0.2500  0.7637  3 Se 2.83-3.04
Dy  0.2981  0.2500  0.2471  3 Se 2.81-3.02
Dy  0.3650  0.7500  0.0264  2 Se 3.01, 3 In 3.13-3.19
Dy  0.4191  0.2500  0.5931  3 Se 2.78-2.80
Dy  0.5809  0.7500  0.4069  3 Se 2.78-2.80
Dy  0.6350  0.2500  0.9736  2 Se 3.01, 3 In 3.13-3.19
Dy  0.7019  0.7500  0.7529  3 Se 2.81-3.02
Dy  0.7758  0.7500  0.2363  3 Se 2.83-3.04
Dy  0.8813  0.2500  0.5712  4 Se 2.81-2.90
In  0.4500  0.7500  0.8050  8 Dy 3.13-3.25
In  0.5500  0.2500  0.1950  8 Dy 3.13-3.25
Se  0.0616  0.7500  0.6453  6 Dy 2.83-2.90
Se  0.1661  0.2500  0.9921  7 Dy 2.92-3.07
Se  0.3524  0.7500  0.4215  6 Dy 2.78-2.81
Se  0.6476  0.2500  0.5785  6 Dy 2.78-2.81
Se  0.8339  0.7500  0.0079  7 Dy 2.92-3.07
Se  0.9384  0.2500  0.3547  6 Dy 2.83-2.90

***

5.
A plane-wave DFT calculation with GGA-PBE was carried out for a relaxed structure of DyInSe2.

## Properties
VASP energy: -4.861 eV/atom
Space group: R3m (160)
Uncorrected formation energy: -1284.1 meV per atom

Cell: 4.1308 4.1308 23.6011 Å, 90.00 90.00 120.00°
Last column: nearest neighbours and their distance in Å.
Positions (direct):
Dy  0.0000  0.0000  0.0000  6 Se 2.88-2.89
Dy  0.3333  0.6667  0.6667  6 Se 2.88-2.89
Dy  0.6667  0.3333  0.3333  6 Se 2.88-2.89
In  0.0000  0.0000  0.1691  6 Se 3.27-3.37
In  0.3333  0.6667  0.8358  6 Se 3.27-3.37
In  0.6667  0.3333  0.5025  6 Se 3.27-3.37
Se  0.0000  0.0000  0.4015  3 Dy 2.88
Se  0.0000  0.0000  0.5975  3 Dy 2.89
Se  0.3333  0.6667  0.0682  3 Dy 2.88
Se  0.3333  0.6667  0.2641  3 Dy 2.89
Se  0.6667  0.3333  0.7349  3 Dy 2.88
Se  0.6667  0.3333  0.9308  3 Dy 2.89

***

6.
A plane-wave DFT calculation with GGA-PBE was carried out for a relaxed structure of Dy6InSi2Se3.

## Properties
VASP energy: -5.497 eV/atom
Space group: C2/m (12)
Uncorrected formation energy: -1192.5 meV per atom

Cell: 9.4023 9.4023 8.4101 Å, 106.74 106.74 25.30°
Last column: nearest neighbours and their distance in Å.
Positions (direct):
Dy  0.0001  0.0001  0.2347  3 Se 2.85-2.92, 1 Si 2.89, 2 In 3.04
Dy  0.9999  0.9999  0.7653  3 Se 2.85-2.92, 1 Si 2.89, 2 In 3.04
Dy  0.3279  0.3279  0.4099  3 Se 2.83-3.01, 2 Si 2.88, 1 In 3.02
Dy  0.3282  0.3282  0.9322  3 Si 2.88-2.89, 3 Se 3.02-3.03
Dy  0.6718  0.6718  0.0678  3 Si 2.88-2.89, 3 Se 3.02-3.03
Dy  0.6721  0.6721  0.5901  3 Se 2.83-3.01, 2 Si 2.88, 1 In 3.02
In  0.5000  0.5000  0.5000  6 Dy 3.02-3.04
Si  0.1633  0.1633  0.8233  6 Dy 2.88-2.89
Si  0.8367  0.8367  0.1767  6 Dy 2.88-2.89
Se  0.1665  0.1665  0.3264  6 Dy 2.83-3.02
Se  0.5000  0.5000  0.0000  6 Dy 2.85-3.03
Se  0.8335  0.8335  0.6736  6 Dy 2.83-3.02

***

7.
A plane-wave DFT calculation with GGA-PBE was carried out for a relaxed structure of Sm2DyIn3Se6.

## Properties
VASP energy: -4.895 eV/atom
Space group: C2/m (12)
Uncorrected formation energy: -1297.6 meV per atom

Cell: 7.2867 7.2867 8.1058 Å, 98.62 98.62 119.99°
Last column: nearest neighbours and their distance in Å.
Positions (direct):
Sm  0.1666  0.8334  0.0000  6 Se 2.94-2.95
Sm  0.8334  0.1666  0.0000  6 Se 2.94-2.95
Dy  0.5000  0.5000  0.0000  6 Se 2.89-2.90
In  0.0000  0.0000  0.5000  6 Se 3.29-3.32
In  0.3324  0.6676  0.5000  6 Se 3.29-3.32
In  0.6676  0.3324  0.5000  6 Se 3.29-3.32
Se  0.1018  0.4297  0.7891  1 Dy 2.89, 2 Sm 2.94
Se  0.2428  0.2428  0.2124  1 Dy 2.90, 2 Sm 2.95
Se  0.4297  0.1018  0.7891  1 Dy 2.89, 2 Sm 2.94
Se  0.5703  0.8982  0.2109  1 Dy 2.89, 2 Sm 2.94
Se  0.7572  0.7572  0.7876  1 Dy 2.90, 2 Sm 2.95
Se  0.8982  0.5703  0.2109  1 Dy 2.89, 2 Sm 2.94

***

8.
A plane-wave DFT calculation with GGA-PBE was carried out for a relaxed structure of SmDyIn2Se4.

## Properties
VASP energy: -4.890 eV/atom
Space group: P2/m (10)
Uncorrected formation energy: -1297.8 meV per atom

Cell: 7.2616 4.1920 8.1065 Å, 90.00 107.35 90.00°
Last column: nearest neighbours and their distance in Å.
Positions (direct):
Sm  0.0000  0.0000  0.0000  6 Se 2.94
Dy  0.5000  0.5000  0.0000  6 Se 2.89-2.90
In  0.0000  0.5000  0.5000  6 Se 3.32
In  0.5000  0.0000  0.5000  6 Se 3.28
Se  0.2421  0.5000  0.2118  1 Dy 2.89, 2 Sm 2.94
Se  0.2685  0.0000  0.7908  2 Dy 2.90, 1 Sm 2.94
Se  0.7315  0.0000  0.2092  2 Dy 2.90, 1 Sm 2.94
Se  0.7579  0.5000  0.7882  1 Dy 2.89, 2 Sm 2.94